CuHgP3 SCAN PBEsol geometry; formation energy from the elements = 1806 meV per atom
1.0
4.897 0.000 0.000
0.000 4.897 0.000
0.000 0.000 4.897
Cu Hg P
1 1 3
Direct
0.000 0.000 0.000 Cu
0.500 0.500 0.500 Hg
0.000 0.500 0.500 P
0.500 0.000 0.500 P
0.500 0.500 0.000 P

***

AlRe2Cl SCAN PBEsol geometry; offset from the most stable computed form = 0.000 eV per atom; raw formation energy = 0.65 eV per atom
1.0
4.644 -1.412 0.000
4.644 1.412 0.000
-0.401 0.000 4.625
Al Re Cl
1 2 1
Direct
0.000 0.000 0.000 Al
0.463 0.463 0.502 Re
0.733 0.733 0.686 Re
0.248 0.248 0.109 Cl